Record 1
Compound: As2SCl
Source: the Alexandria database
Functional: GGA-PBE
Structure: optimized geometry

Summary:
* ΔE_f (raw): 0.19 eV/atom
* M_tot: 0.000 μB per formula unit
* N(E_F): 1.19 states/eV/f.u.
* offset from the most stable computed form: 0.000 eV/atom

abc: 4.768 4.768 16.623
angles: 90.00 90.00 90.00
Space group I-42d (No. 122)
Unique sites:
As: 0.153 0.250 0.125 [8 per cell]
S: 0.000 0.000 0.000 [4 per cell]
Cl: 0.000 0.000 0.500 [4 per cell]


Record 2
Compound: Ti8Ge2Bi
Source: the Alexandria database
Functional: GGA-PBE
Structure: optimized geometry

Summary:
* M_tot: 0.000 μB per formula unit
* N(E_F): 9.08 states/eV/f.u.
* formation energy from the elements: -2.983 eV per formula unit

abc: 14.538 5.286 5.075
angles: 90.00 100.40 90.00
Space group C2/m (No. 12)
Unique sites:
Ti: 0.094 0.000 0.000 [4 per cell]
Ti: 0.101 0.244 0.525 [8 per cell]
Ti: 0.214 0.500 0.121 [4 per cell]
Ge: 0.240 0.000 0.347 [4 per cell]
Bi: 0.000 0.500 0.000 [2 per cell]


Record 3
Compound: TlReCl2
Source: the Alexandria database
Functional: GGA-PBE
Structure: optimized geometry

Summary:
* ΔE_f (raw): 0.09 eV/atom
* M_tot: 0.791 μB per formula unit
* N(E_F): 1.74 states/eV/f.u.
* offset from the most stable computed form: 0.000 eV/atom

abc: 10.833 3.102 6.840
angles: 90.00 114.84 90.00
Space group Cm (No. 8)
Unique sites:
Tl: 0.000 0.000 0.000 [2 per cell]
Re: 0.236 0.500 0.999 [2 per cell]
Cl: 0.168 0.000 0.698 [2 per cell]
Cl: 0.328 0.000 0.300 [2 per cell]


Record 4
Compound: TcNi2W
Source: the Alexandria database
Functional: GGA-PBE
Structure: optimized geometry

Summary:
* M_tot: 0.000 μB per formula unit
* N(E_F): 3.63 states/eV/f.u.
* offset from the most stable computed form: 0.092 eV/atom
* formation energy from the elements: 0.253 eV per formula unit

abc: 2.662 2.662 7.460
angles: 90.00 90.00 90.00
Space group P4mm (No. 99)
Unique sites:
Tc: 0.000 0.000 0.000 [1 per cell]
Ni: 0.000 0.000 0.538 [1 per cell]
Ni: 0.500 0.500 0.769 [1 per cell]
W: 0.500 0.500 0.298 [1 per cell]